1.
KSrCa2 | Alexandria | PBE-GGA | optimized geometry; space-group type = F-43m, No. 216; energy above the lowest structure with this stoichiometry = 63 meV per atom; calculated density = 1705 kg/m3; energy relative to the elements = 0.15 eV/atom
1.0
0.000 4.653 4.653
4.653 0.000 4.653
4.653 4.653 0.000
K Sr Ca
1 1 2
Cartesian
0.000 0.000 0.000
2.327 2.327 2.327
4.653 4.653 4.653
6.980 6.980 6.980



2.
KSr14Ca | Alexandria | PBE-GGA | optimized geometry; space-group type = P4/mmm, No. 123; calculated density = 2489 kg/m3; energy relative to the elements = 0.02 eV/atom
1.0
8.567 0.000 0.000
0.000 8.567 0.000
0.000 0.000 11.871
K Sr Ca
1 14 1
Cartesian
0.000 0.000 0.000
0.000 0.000 5.936
0.000 4.283 0.000
0.000 4.283 5.936
2.175 2.175 2.957
2.175 2.175 8.914
2.175 6.392 2.957
2.175 6.392 8.914
4.283 0.000 0.000
4.283 0.000 5.936
4.283 4.283 5.936
6.392 2.175 2.957
6.392 2.175 8.914
6.392 6.392 2.957
6.392 6.392 8.914
4.283 4.283 0.000



3.
KSrCa | Alexandria | PBE-GGA | optimized geometry; space-group type = C2/m, No. 12; calculated density = 1704 kg/m3; energy relative to the elements = 0.06 eV/atom
1.0
3.635 -2.098 0.000
3.635 2.098 0.000
-2.443 0.000 21.318
K Sr Ca
2 2 2
Cartesian
1.228 0.000 2.016
3.600 0.000 19.302
1.196 0.000 15.490
3.632 0.000 5.828
1.205 0.000 9.105
3.622 0.000 12.213



4.
KSrCa2 | Alexandria | PBE-GGA | optimized geometry; space-group type = I-4m2, No. 119; energy above the lowest structure with this stoichiometry = 63 meV per atom; calculated density = 1706 kg/m3; energy relative to the elements = 0.15 eV/atom
1.0
-2.957 2.957 5.757
2.957 -2.957 5.757
2.957 2.957 -5.757
K Sr Ca
1 1 2
Cartesian
0.000 0.000 0.000
2.957 0.000 2.879
0.000 0.000 5.757
0.000 2.957 2.879



5.
KSrCa | Alexandria | PBE-GGA | optimized geometry; space-group type = Fmm2, No. 42; calculated density = 1712 kg/m3; energy relative to the elements = 0.10 eV/atom
1.0
0.000 3.327 10.395
2.338 0.000 10.395
2.338 3.327 0.000
K Sr Ca
1 1 1
Cartesian
0.000 0.000 0.000
2.338 3.327 6.651
2.338 3.327 13.916



6.
K3SrCa | Alexandria | PBE-GGA | optimized geometry; space-group type = Pm-3m, No. 221; energy above the lowest structure with this stoichiometry = 119 meV per atom; calculated density = 948 kg/m3; energy relative to the elements = 0.59 eV/atom
1.0
7.544 0.000 0.000
0.000 7.544 0.000
0.000 0.000 7.544
K Sr Ca
3 1 1
Cartesian
0.000 0.000 3.772
0.000 3.772 0.000
3.772 0.000 0.000
0.000 0.000 0.000
3.772 3.772 3.772



7.
KSr6Ca2 | Alexandria | PBE-GGA | optimized geometry; space-group type = P-6m2, No. 187; calculated density = 2221 kg/m3; energy relative to the elements = 0.06 eV/atom
1.0
4.182 0.000 0.000
-2.091 3.621 0.000
0.000 0.000 31.849
K Sr Ca
1 6 2
Cartesian
0.000 0.000 0.000
0.000 0.000 7.317
0.000 0.000 13.945
0.000 0.000 17.904
0.000 0.000 24.532
2.091 1.207 3.831
2.091 1.207 28.018
2.091 1.207 10.655
2.091 1.207 21.193



8.
KSrCa2 | Alexandria | PBE-GGA | optimized geometry; space-group type = Cm, No. 8; energy above the lowest structure with this stoichiometry = 40 meV per atom; calculated density = 1702 kg/m3; energy relative to the elements = 0.12 eV/atom
1.0
6.852 -2.023 0.000
6.852 2.023 0.000
-1.078 0.000 7.278
K Sr Ca
1 1 2
Cartesian
0.000 0.000 0.000
2.531 0.000 5.339
6.237 0.000 3.560
10.036 0.000 1.900